No. 1
La2Co2Si: optimized geometry, PBE-GGA.

The structure in POSCAR format:
```
La2Co2Si
1.0
1.9847 1.1459 8.7495
-1.9847 1.1459 8.7495
0.0000 -2.2918 8.7495
La Co Si
2 2 1
Direct
0.0788 0.0788 0.0788
0.9212 0.9212 0.9212
0.1891 0.1891 0.1891
0.8109 0.8109 0.8109
0.5000 0.5000 0.5000
```

## Properties
For the energy, the calculation gives -6.32 eV/atom. The uncorrected formation energy is -0.421 eV/atom. The value obtained for the mass density is 5.894 g/cm³.


No. 2
KNi2B: optimized geometry, PBE-GGA.

The structure in POSCAR format:
```
KNi2B
1.0
-2.5213 2.5213 5.8632
2.5213 -2.5213 5.8632
2.5213 2.5213 -5.8632
K Ni B
2 4 2
Direct
0.3750 0.6250 0.7500
0.6250 0.3750 0.2500
0.0000 0.0000 0.0000
0.0000 0.0000 0.5000
0.0000 0.5000 0.0000
0.5000 0.0000 0.5000
0.1250 0.8750 0.2500
0.8750 0.1250 0.7500
```

## Properties
For the energy, the calculation gives -4.42 eV/atom. Its energy of formation is 0.42 eV/atom. The value obtained for the mass density is 3.727 g/cm³.


No. 3
La2PrPa: optimized geometry, PBE-GGA.

The structure in POSCAR format:
```
La2PrPa
1.0
1.7011 0.9821 12.7470
-1.7011 0.9821 12.7470
0.0000 -1.9643 12.7470
La Pr Pa
2 1 1
Direct
0.0824 0.0824 0.0824
0.9176 0.9176 0.9176
0.5000 0.5000 0.5000
0.0000 0.0000 0.0000
```

## Properties
For the energy, the calculation gives -5.71 eV/atom. Its energy of formation is 0.32 eV/atom. The value obtained for the mass density is 8.444 g/cm³.


No. 4
In3Hg: optimized geometry, PBE-GGA.

The structure in POSCAR format:
```
In3Hg
1.0
5.8008 0.0000 0.0000
0.0000 9.8762 0.0000
0.0000 0.0000 7.5424
In Hg
12 4
Direct
0.1017 0.2500 0.1375
0.2462 0.0149 0.8683
0.2462 0.4851 0.8683
0.2538 0.5149 0.3683
0.2538 0.9851 0.3683
0.3983 0.7500 0.6375
0.6017 0.2500 0.3625
0.7462 0.0149 0.6317
0.7462 0.4851 0.6317
0.7538 0.5149 0.1317
0.7538 0.9851 0.1317
0.8983 0.7500 0.8625
0.1186 0.2500 0.6000
0.3814 0.7500 0.1000
0.6186 0.2500 0.9000
0.8814 0.7500 0.4000
```

## Properties
For the energy, the calculation gives -2.12 eV/atom. Its energy of formation is 0.01 eV/atom. The value obtained for the mass density is 8.378 g/cm³.


No. 5
CaHo2S4: optimized geometry, PBE-GGA.

The structure in POSCAR format:
```
CaHo2S4
1.0
1.9445 -6.4297 0.0000
1.9445 6.4297 0.0000
0.0000 0.0000 13.2734
Ca Ho S
2 4 8
Direct
0.1132 0.8868 0.7500
0.8868 0.1132 0.2500
0.3661 0.6339 0.5713
0.3661 0.6339 0.9287
0.6339 0.3661 0.0713
0.6339 0.3661 0.4287
0.0000 0.0000 0.0000
0.0000 0.0000 0.5000
0.2722 0.7278 0.1173
0.2722 0.7278 0.3827
0.4597 0.5403 0.7500
0.5403 0.4597 0.2500
0.7278 0.2722 0.6173
0.7278 0.2722 0.8827
```

## Properties
For the energy, the calculation gives -6.04 eV/atom. The uncorrected formation energy is -2.091 eV/atom. The value obtained for the mass density is 4.985 g/cm³.


No. 6
Nd2Sb3Rh4Au: optimized geometry, PBE-GGA.

The structure in POSCAR format:
```
Nd2Sb3Rh4Au
1.0
4.3601 0.0000 0.0000
0.0000 4.3601 0.0000
0.0000 0.0000 11.1628
Nd Sb Rh Au
2 3 4 1
Direct
0.0000 0.5000 0.2377
0.5000 0.0000 0.7623
0.0000 0.0000 0.0000
0.0000 0.5000 0.6325
0.5000 0.0000 0.3675
0.0000 0.0000 0.5000
0.0000 0.5000 0.8583
0.5000 0.0000 0.1417
0.5000 0.5000 0.5000
0.5000 0.5000 0.0000
```

## Properties
For the energy, the calculation gives -6.19 eV/atom. The uncorrected formation energy is -0.726 eV/atom. The value obtained for the mass density is 9.878 g/cm³.


No. 7
GaCoB3: optimized geometry, PBE-GGA.

The structure in POSCAR format:
```
GaCoB3
1.0
4.0273 0.0000 0.0000
0.0000 4.0273 0.0000
0.0000 0.0000 4.0273
Ga Co B
1 1 3
Direct
0.0000 0.0000 0.0000
0.5000 0.5000 0.5000
0.0000 0.0000 0.5000
0.0000 0.5000 0.0000
0.5000 0.0000 0.0000
```

## Properties
For the energy, the calculation gives -3.86 eV/atom. Its energy of formation is 2.18 eV/atom. The value obtained for the mass density is 4.095 g/cm³.


No. 8
Er4Co3Ru: optimized geometry, PBE-GGA.

The structure in POSCAR format:
```
Er4Co3Ru
1.0
3.3467 0.0000 0.0000
0.0000 4.6843 0.0000
0.0000 0.0000 9.3395
Er Co Ru
4 3 1
Direct
0.0000 0.0000 0.0000
0.0000 0.0000 0.5000
0.0000 0.5000 0.2477
0.0000 0.5000 0.7523
0.5000 0.0000 0.2473
0.5000 0.0000 0.7527
0.5000 0.5000 0.0000
0.5000 0.5000 0.5000
```

## Properties
For the energy, the calculation gives -6.35 eV/atom. Its energy of formation is -0.25 eV/atom. The value obtained for the mass density is 10.739 g/cm³.